Record 1
Be2CuRu at its PBEsol-relaxed geometry. Source: Alexandria, functional meta-GGA SCAN.

Lattice parameters (Å, degrees): 2.7289 2.7289 5.4372 90.00 90.00 90.00
Sites, in units of the cell vectors:
Be 0.0000 0.0000 0.0212
Be 0.5000 0.5000 0.2336
Ru 0.5000 0.5000 0.7833
Cu 0.0000 0.0000 0.4619

## Properties
* DFT formation energy: -0.099 eV/atom
* DFT total energy: -59.1 eV per cell
* energy above the most stable polymorph in this dataset: 1.24 eV/f.u.

***

Record 2
K2SrCa at its PBEsol-relaxed geometry. Source: Alexandria, functional meta-GGA SCAN.

Lattice parameters (Å, degrees): 4.0561 4.0561 13.3788 90.00 90.00 90.00
Sites, in units of the cell vectors:
Ca 0.5000 0.5000 0.5000
Sr 0.5000 0.5000 0.0000
K 0.0000 0.0000 0.2587
K 0.0000 0.0000 0.7413

## Properties
* DFT formation energy: 0.177 eV/atom
* DFT total energy: -47.9 eV per cell

***

Record 3
YTeN2F at its PBEsol-relaxed geometry. Source: Alexandria, functional meta-GGA SCAN.

Lattice parameters (Å, degrees): 4.1521 4.2482 4.2482 90.00 90.00 90.00
Sites, in units of the cell vectors:
Te 0.0000 0.0000 0.0000
N 0.0000 0.0000 0.5000
N 0.0000 0.5000 0.0000
Y 0.5000 0.5000 0.5000
F 0.5000 0.0000 0.0000

## Properties
* DFT total energy: -88.4 eV per cell
* formation energy without anion corrections: -0.2411 eV/atom

***

Record 4
NiGeTe2 at its PBEsol-relaxed geometry. Source: Alexandria, functional meta-GGA SCAN.

Lattice parameters (Å, degrees): 3.9849 3.9849 8.2651 76.05 76.05 60.00
Each line ends with the local moment (μB).
Sites, in units of the cell vectors:
Te 0.9014 0.9014 0.2959  0.06
Te 0.0986 0.0986 0.7041  0.06
Ni 0.0000 0.0000 0.0000  0.85
Ge 0.5000 0.5000 0.5000  0.00

## Properties
* DFT total energy: -108.1 eV per cell
* formation energy without anion corrections: 0.4265 eV/atom

***

Record 5
CuTcMo2 at its PBEsol-relaxed geometry. Source: Alexandria, functional meta-GGA SCAN.

Lattice parameters (Å, degrees): 2.6356 2.6356 8.5158 90.00 90.00 106.85
Sites, in units of the cell vectors:
Mo 0.0000 0.0000 0.7534
Mo 0.0000 0.0000 0.2466
Tc 0.5000 0.5000 0.5000
Cu 0.5000 0.5000 0.0000

## Properties
* DFT formation energy: 0.197 eV/atom
* DFT total energy: -119.2 eV per cell
* energy above the most stable polymorph in this dataset: 0.00 eV/f.u.

***

Record 6
KAgCl2 at its PBEsol-relaxed geometry. Source: Alexandria, functional meta-GGA SCAN.

Lattice parameters (Å, degrees): 4.0877 5.3531 5.3531 69.65 67.55 67.55
Sites, in units of the cell vectors:
K 0.5000 0.0000 0.0000
Ag 0.0000 0.5000 0.5000
Cl 0.2895 0.7105 0.7105
Cl 0.7105 0.2895 0.2895

## Properties
* DFT total energy: -60.7 eV per cell
* formation energy without anion corrections: -1.2726 eV/atom

***

Record 7
Li2ZnCl4 at its PBEsol-relaxed geometry. Source: Alexandria, functional meta-GGA SCAN.

Lattice parameters (Å, degrees): 7.2328 7.2328 7.2328 60.00 60.00 60.00
Sites, in units of the cell vectors:
Zn 0.5000 0.5000 0.5000
Zn 0.7500 0.7500 0.7500
Li 0.1250 0.1250 0.1250
Li 0.6250 0.1250 0.1250
Li 0.1250 0.1250 0.6250
Li 0.1250 0.6250 0.1250
Cl 0.8855 0.3715 0.3715
Cl 0.3645 0.8785 0.8785
Cl 0.8785 0.8785 0.8785
Cl 0.3715 0.8855 0.3715
Cl 0.3715 0.3715 0.3715
Cl 0.8785 0.3645 0.8785
Cl 0.3715 0.3715 0.8855
Cl 0.8785 0.8785 0.3645

## Properties
* DFT total energy: -124.3 eV per cell
* formation energy without anion corrections: -1.7070 eV/atom

***

Record 8
YAl3 at its PBEsol-relaxed geometry. Source: Alexandria, functional meta-GGA SCAN.

Lattice parameters (Å, degrees): 4.5329 5.7935 5.8708 90.00 90.00 90.00
Sites, in units of the cell vectors:
Al 0.0000 0.8629 0.7608
Al 0.5000 0.1371 0.7392
Al 0.5000 0.7418 0.0000
Al 0.0000 0.8629 0.2392
Al 0.0000 0.2582 0.5000
Al 0.5000 0.1371 0.2608
Y 0.0000 0.3847 0.0000
Y 0.5000 0.6153 0.5000

## Properties
* DFT formation energy: -0.424 eV/atom
* DFT total energy: -105.6 eV per cell